Model P:
Below is TcPt2 after structural relaxation, with properties calculated at the PBE level.

V: 15.4 A^3/atom
N(E_F): 0.711 states/eV per atom

Lattice parameters (Å, degrees): 4.4807 4.4807 2.6614 90.00 90.00 120.00
Space group P6/mmm (No. 191)
One atom of each set of equivalent atoms:
Tc 0.0000 0.0000 0.0000 [1 per cell]
Pt 0.3333 0.6667 0.5000 [2 per cell]


Model Q:
Below is TcPt2 after structural relaxation, with properties calculated at the PBE level.

V: 15.6 A^3/atom
N(E_F): 0.664 states/eV per atom

Lattice parameters (Å, degrees): 3.374 3.374 8.204 90.00 90.00 90.00
Space group I4/mmm (No. 139)
One atom of each set of equivalent atoms:
Tc 0.000 0.000 0.000 [2 per cell]
Pt 0.000 0.000 0.335 [4 per cell]


Preferred: model Q; penalty for the next structure: 16 meV/atom.


Model P:
Below is TcPt2 after structural relaxation, with properties calculated at the PBE level.

V: 15.2 A^3/atom
N(E_F): 0.859 states/eV per atom

Lattice parameters (Å, degrees): 10.355 2.776 6.577 90.00 105.13 90.00
Space group C2/m (No. 12)
One atom of each set of equivalent atoms:
Tc 0.024 0.000 0.309 [4 per cell]
Pt 0.134 0.500 0.030 [4 per cell]
Pt 0.187 0.500 0.632 [4 per cell]


Model Q:
Below is TcPt2 after structural relaxation, with properties calculated at the PBE level.

V: 18.2 A^3/atom
N(E_F): 2.022 states/eV per atom

Lattice parameters (Å, degrees): 6.026 6.026 6.026 90.00 90.00 90.00
Space group Fm-3m (No. 225)
One atom of each set of equivalent atoms:
Tc 0.000 0.000 0.000 [4 per cell]
Pt 0.250 0.250 0.250 [8 per cell]


Model R:
Below is TcPt2 after structural relaxation, with properties calculated at the PBE level.

V: 18.5 A^3/atom
N(E_F): 1.723 states/eV per atom

Lattice parameters (Å, degrees): 4.526 4.526 2.717 90.00 90.00 90.00
Space group P4/mmm (No. 123)
One atom of each set of equivalent atoms:
Tc 0.000 0.000 0.000 [1 per cell]
Pt 0.000 0.500 0.500 [2 per cell]


Preferred: model P; penalty for the next structure: 585 meV/atom.


Model P:
Below is Tc3Pt after structural relaxation, with properties calculated at the PBE level.

V: 15.1 A^3/atom
N(E_F): 1.209 states/eV per atom

Lattice parameters (Å, degrees): 8.9135 8.9135 2.6260 90.00 90.00 120.00
Space group R-3m (No. 166, hexagonal axes)
One atom of each set of equivalent atoms:
Tc 0.0000 0.5000 0.0000 [9 per cell]
Pt 0.0000 0.0000 0.0000 [3 per cell]


Model Q:
Below is Tc3Pt after structural relaxation, with properties calculated at the PBE level.

V: 14.7 A^3/atom
N(E_F): 0.559 states/eV per atom

Lattice parameters (Å, degrees): 5.5306 5.5306 8.8667 90.00 90.00 120.00
Space group P6_3/mmc (No. 194)
One atom of each set of equivalent atoms:
Tc 0.0000 0.5000 0.0000 [6 per cell]
Tc 0.1732 0.3464 0.2500 [6 per cell]
Pt 0.0000 0.0000 0.0000 [2 per cell]
Pt 0.3333 0.6667 0.7500 [2 per cell]


Preferred: model Q; penalty for the next structure: 447 meV/atom.


Model P:
Below is TcPt after structural relaxation, with properties calculated at the PBE level.

V: 16.2 A^3/atom
N(E_F): 0.899 states/eV per atom

Lattice parameters (Å, degrees): 4.3129 4.3129 12.0475 90.00 90.00 120.00
Space group R-3m (No. 166, hexagonal axes)
One atom of each set of equivalent atoms:
Tc 0.0000 0.0000 0.1661 [6 per cell]
Pt 0.0000 0.0000 0.3878 [6 per cell]


Model Q:
Below is TcPt after structural relaxation, with properties calculated at the PBE level.

V: 15.4 A^3/atom
N(E_F): 1.878 states/eV per atom

Lattice parameters (Å, degrees): 3.137 3.137 3.137 90.00 90.00 90.00
Space group Pm-3m (No. 221)
One atom of each set of equivalent atoms:
Tc 0.000 0.000 0.000 [1 per cell]
Pt 0.500 0.500 0.500 [1 per cell]


Model R:
Below is TcPt after structural relaxation, with properties calculated at the PBE level.

V: 16.3 A^3/atom
N(E_F): 0.868 states/eV per atom

Lattice parameters (Å, degrees): 4.2905 4.2905 8.1622 90.00 90.00 120.00
Space group P6_3/mmc (No. 194)
One atom of each set of equivalent atoms:
Tc 0.0000 0.0000 0.2500 [2 per cell]
Tc 0.3333 0.6667 0.2500 [2 per cell]
Pt 0.3333 0.6667 0.5828 [4 per cell]


Model S:
Below is TcPt after structural relaxation, with properties calculated at the PBE level.

V: 15.0 A^3/atom
N(E_F): 0.965 states/eV per atom

Lattice parameters (Å, degrees): 10.094 2.760 4.859 90.00 117.76 90.00
Space group C2/m (No. 12)
One atom of each set of equivalent atoms:
Tc 0.131 0.000 0.296 [4 per cell]
Pt 0.120 0.500 0.794 [4 per cell]


Preferred: model S; penalty for the next structure: 224 meV/atom.


Model P:
Below is TcPt after structural relaxation, with properties calculated at the PBE level.

V: 15.0 A^3/atom
N(E_F): 0.665 states/eV per atom

Lattice parameters (Å, degrees): 2.755 2.755 7.929 90.00 90.00 90.00
Space group P4/nmm (No. 129, origin choice 2)
One atom of each set of equivalent atoms:
Tc 0.250 0.250 0.114 [2 per cell]
Pt 0.250 0.250 0.635 [2 per cell]


Model Q:
Below is TcPt after structural relaxation, with properties calculated at the PBE level.

V: 15.5 A^3/atom
N(E_F): 0.692 states/eV per atom

Lattice parameters (Å, degrees): 4.986 4.986 4.986 90.00 90.00 90.00
Space group P2_13 (No. 198)
One atom of each set of equivalent atoms:
Tc 0.099 0.099 0.099 [4 per cell]
Pt 0.098 0.598 0.902 [4 per cell]


Preferred: model P; penalty for the next structure: 277 meV/atom.


Model P:
Below is TcPt after structural relaxation, with properties calculated at the PBE level.

V: 15.1 A^3/atom
N(E_F): 0.964 states/eV per atom

Lattice parameters (Å, degrees): 2.7865 2.7865 8.9655 90.00 90.00 120.00
Space group P-3m1 (No. 164)
One atom of each set of equivalent atoms:
Tc 0.3333 0.6667 0.3846 [2 per cell]
Pt 0.3333 0.6667 0.8644 [2 per cell]


Model Q:
Below is TcPt after structural relaxation, with properties calculated at the PBE level.

V: 15.0 A^3/atom
N(E_F): 0.808 states/eV per atom

Lattice parameters (Å, degrees): 2.786 4.428 4.859 90.00 90.00 90.00
Space group Pmmn (No. 59, origin choice 2)
One atom of each set of equivalent atoms:
Tc 0.250 0.250 0.084 [2 per cell]
Pt 0.250 0.750 0.409 [2 per cell]


Preferred: model P; penalty for the next structure: 46 meV/atom.


Model P:
Below is TcPt after structural relaxation, with properties calculated at the PBE level.

V: 14.9 A^3/atom
N(E_F): 1.004 states/eV per atom

Lattice parameters (Å, degrees): 4.448 2.759 4.871 90.00 90.00 90.00
Space group Pmma (No. 51)
One atom of each set of equivalent atoms:
Tc 0.250 0.000 0.154 [2 per cell]
Pt 0.250 0.500 0.662 [2 per cell]


Model Q:
Below is TcPt after structural relaxation, with properties calculated at the PBE level.

V: 22.2 A^3/atom
N(E_F): 0.913 states/eV per atom

Lattice parameters (Å, degrees): 5.621 5.621 5.621 90.00 90.00 90.00
Space group F-43m (No. 216)
One atom of each set of equivalent atoms:
Tc 0.000 0.000 0.000 [4 per cell]
Pt 0.250 0.250 0.250 [4 per cell]


Preferred: model P; penalty for the next structure: 1115 meV/atom.


Model P:
Below is Tc3Pt2 after structural relaxation, with properties calculated at the PBE level.

V: 17.2 A^3/atom
N(E_F): 1.028 states/eV per atom

Lattice parameters (Å, degrees): 4.2453 4.2453 5.5237 90.00 90.00 120.00
Space group P-3m1 (No. 164)
One atom of each set of equivalent atoms:
Tc 0.0000 0.0000 0.0000 [1 per cell]
Tc 0.3333 0.6667 0.4045 [2 per cell]
Pt 0.3333 0.6667 0.8693 [2 per cell]


Model Q:
Below is Tc3Pt2 after structural relaxation, with properties calculated at the PBE level.

V: 14.9 A^3/atom
N(E_F): 1.293 states/eV per atom

Lattice parameters (Å, degrees): 2.7598 2.7598 33.9543 90.00 90.00 120.00
Space group R-3m (No. 166, hexagonal axes)
One atom of each set of equivalent atoms:
Tc 0.0000 0.0000 0.0000 [3 per cell]
Tc 0.0000 0.0000 0.1977 [6 per cell]
Pt 0.0000 0.0000 0.3995 [6 per cell]


Preferred: model Q; penalty for the next structure: 641 meV/atom.


Model P:
Below is Tc3Pt5 after structural relaxation, with properties calculated at the PBE level.

V: 15.1 A^3/atom
N(E_F): 1.245 states/eV per atom

Lattice parameters (Å, degrees): 7.787 8.006 3.886 90.00 90.00 90.00
Space group Cmmm (No. 65)
One atom of each set of equivalent atoms:
Tc 0.000 0.000 0.000 [2 per cell]
Tc 0.244 0.000 0.500 [4 per cell]
Pt 0.000 0.243 0.500 [4 per cell]
Pt 0.000 0.500 0.000 [2 per cell]
Pt 0.250 0.250 0.000 [4 per cell]


Model Q:
Below is Tc3Pt5 after structural relaxation, with properties calculated at the PBE level.

V: 16.0 A^3/atom
N(E_F): 1.222 states/eV per atom

Lattice parameters (Å, degrees): 5.042 7.643 13.301 90.00 90.00 90.00
Space group Ama2 (No. 40)
One atom of each set of equivalent atoms:
Tc 0.250 0.085 0.000 [4 per cell]
Tc 0.250 0.181 0.669 [4 per cell]
Tc 0.250 0.263 0.240 [4 per cell]
Pt 0.000 0.000 0.167 [4 per cell]
Pt 0.000 0.000 0.833 [4 per cell]
Pt 0.250 0.221 0.459 [4 per cell]
Pt 0.250 0.384 0.847 [4 per cell]
Pt 0.250 0.402 0.054 [4 per cell]


Preferred: model P; penalty for the next structure: 274 meV/atom.


Model P:
Below is Tc2Pt3 after structural relaxation, with properties calculated at the PBE level.

V: 16.0 A^3/atom
N(E_F): 1.253 states/eV per atom

Lattice parameters (Å, degrees): 4.5139 4.5139 13.5788 90.00 90.00 120.00
Space group R-3m (No. 166, hexagonal axes)
One atom of each set of equivalent atoms:
Tc 0.0000 0.0000 0.0821 [6 per cell]
Pt 0.0000 0.0000 0.2852 [6 per cell]
Pt 0.0000 0.0000 0.5000 [3 per cell]


Model Q:
Below is Tc2Pt3 after structural relaxation, with properties calculated at the PBE level.

V: 15.4 A^3/atom
N(E_F): 0.882 states/eV per atom

Lattice parameters (Å, degrees): 9.265 13.789 4.815 90.00 90.00 90.00
Space group Fdd2 (No. 43)
One atom of each set of equivalent atoms:
Tc 0.018 0.293 0.000 [16 per cell]
Pt 0.000 0.000 0.463 [8 per cell]
Pt 0.027 0.399 0.475 [16 per cell]


Model R:
Below is Tc2Pt3 after structural relaxation, with properties calculated at the PBE level.

V: 16.5 A^3/atom
N(E_F): 0.803 states/eV per atom

Lattice parameters (Å, degrees): 13.474 3.771 7.463 90.00 119.72 90.00
Space group C2/m (No. 12)
One atom of each set of equivalent atoms:
Tc 0.183 0.000 0.377 [4 per cell]
Tc 0.236 0.500 0.880 [4 per cell]
Pt 0.064 0.000 0.760 [4 per cell]
Pt 0.093 0.500 0.482 [4 per cell]
Pt 0.112 0.500 0.078 [4 per cell]


Model S:
Below is Tc2Pt3 after structural relaxation, with properties calculated at the PBE level.

V: 17.2 A^3/atom
N(E_F): 1.372 states/eV per atom

Lattice parameters (Å, degrees): 4.3039 4.3039 5.3529 90.00 90.00 120.00
Space group P-3m1 (No. 164)
One atom of each set of equivalent atoms:
Tc 0.3333 0.6667 0.3768 [2 per cell]
Pt 0.0000 0.0000 0.5000 [1 per cell]
Pt 0.3333 0.6667 0.8787 [2 per cell]


Preferred: model Q; penalty for the next structure: 61 meV/atom.


Model P:
Below is Tc5Pt4 after structural relaxation, with properties calculated at the PBE level.

V: 14.9 A^3/atom
N(E_F): 0.970 states/eV per atom

Lattice parameters (Å, degrees): 8.290 8.290 3.909 90.00 90.00 90.00
Space group I4/mmm (No. 139)
One atom of each set of equivalent atoms:
Tc 0.000 0.000 0.000 [2 per cell]
Tc 0.160 0.160 0.500 [8 per cell]
Pt 0.000 0.326 0.000 [8 per cell]


Model Q:
Below is Tc5Pt4 after structural relaxation, with properties calculated at the PBE level.

V: 15.3 A^3/atom
N(E_F): 1.310 states/eV per atom

Lattice parameters (Å, degrees): 7.6359 7.6359 5.4407 90.00 90.00 120.00
Space group P6_3/mcm (No. 193)
One atom of each set of equivalent atoms:
Tc 0.0000 0.3321 0.2500 [6 per cell]
Tc 0.3333 0.6667 0.0000 [4 per cell]
Pt 0.0000 0.0000 0.0000 [2 per cell]
Pt 0.0000 0.3403 0.7500 [6 per cell]


Preferred: model P; penalty for the next structure: 287 meV/atom.